Compound: Ac2SbPd3Au12
Source: the Alexandria database
Functional: PBE
Structure: relaxed

Results
uncorrected formation energy: -0.122 eV/atom
spin magnetization: 0.0 μB/f.u.
symmetry: R-3m, No. 166

extended XYZ file:
```
18
Lattice="3.590 2.073 9.346 -3.590 2.073 9.346 0.000 -4.145 9.346" Properties=species:S:1:pos:R:3 pbc="T T T"
Ac 0.000 0.000 4.064
Ac 0.000 0.000 23.975
Sb 0.000 0.000 14.019
Pd -1.795 -1.036 9.346
Pd -1.795 1.036 18.692
Pd 0.000 2.073 9.346
Au 0.000 -2.535 8.040
Au -2.195 1.267 8.040
Au -1.773 -1.023 12.194
Au -2.195 -1.267 19.998
Au 0.000 -2.047 15.845
Au -1.773 1.023 15.845
Au 1.773 -1.023 12.194
Au 0.000 2.047 12.194
Au 2.195 1.267 8.040
Au 1.773 1.023 15.845
Au 2.195 -1.267 19.998
Au 0.000 2.535 19.998
```

---

Compound: Ac3SbPd6Au2
Source: the Alexandria database
Functional: PBE
Structure: relaxed

Results
uncorrected formation energy: -0.738 eV/atom
spin magnetization: 0.0 μB/f.u.
symmetry: P-3m1, No. 164

extended XYZ file:
```
12
Lattice="5.927 0.000 0.000 -2.963 5.133 0.000 0.000 0.000 9.043" Properties=species:S:1:pos:R:3 pbc="T T T"
Ac 0.000 0.000 0.000
Ac 0.000 3.422 5.698
Ac 2.963 1.711 3.345
Sb 0.000 0.000 4.522
Pd 0.000 1.808 2.496
Pd -1.397 4.228 2.496
Pd 1.566 0.904 6.547
Pd 1.397 4.228 2.496
Pd 4.361 0.904 6.547
Pd 2.963 3.324 6.547
Au 0.000 3.422 0.131
Au 2.963 1.711 8.912
```

---

Compound: Ac2Sb3Pd6Au
Source: the Alexandria database
Functional: PBE
Structure: relaxed

Results
uncorrected formation energy: -0.437 eV/atom
spin magnetization: 0.0 μB/f.u.
symmetry: P4/mmm, No. 123

extended XYZ file:
```
12
Lattice="4.403 0.000 0.000 0.000 4.403 0.000 0.000 0.000 16.197" Properties=species:S:1:pos:R:3 pbc="T T T"
Ac 0.000 0.000 3.413
Ac 0.000 0.000 12.784
Sb 2.201 2.201 0.000
Sb 2.201 2.201 5.092
Sb 2.201 2.201 11.105
Pd 0.000 2.201 6.455
Pd 0.000 2.201 9.742
Pd 2.201 0.000 6.455
Pd 2.201 0.000 9.742
Pd 2.201 2.201 2.504
Pd 2.201 2.201 13.693
Au 0.000 0.000 8.099
```

---

Compound: AcScPdAu
Source: the Alexandria database
Functional: PBE
Structure: relaxed

Results
spin magnetization: 0.0 μB/f.u.
symmetry: F-43m, No. 216
DFT formation energy: -2.5 eV/f.u.

extended XYZ file:
```
16
Lattice="7.300 0.000 0.000 0.000 7.300 0.000 0.000 0.000 7.300" Properties=species:S:1:pos:R:3 pbc="T T T"
Ac 0.000 0.000 0.000
Ac 0.000 3.650 3.650
Ac 3.650 0.000 3.650
Ac 3.650 3.650 0.000
Sc 0.000 0.000 3.650
Sc 0.000 3.650 0.000
Sc 3.650 0.000 0.000
Sc 3.650 3.650 3.650
Pd 1.825 1.825 1.825
Pd 1.825 5.475 5.475
Pd 5.475 1.825 5.475
Pd 5.475 5.475 1.825
Au 1.825 1.825 5.475
Au 1.825 5.475 1.825
Au 5.475 1.825 1.825
Au 5.475 5.475 5.475
```

---

Compound: Ac3SiPd9Au2
Source: the Alexandria database
Functional: PBE
Structure: relaxed

Results
uncorrected formation energy: -0.450 eV/atom
spin magnetization: 0.0 μB/f.u.
symmetry: P-3m1, No. 164

extended XYZ file:
```
15
Lattice="7.781 0.000 0.000 -3.890 6.738 0.000 0.000 0.000 6.622" Properties=species:S:1:pos:R:3 pbc="T T T"
Ac 0.000 0.000 0.000
Ac 0.000 4.492 4.530
Ac 3.890 2.246 2.092
Si 0.000 0.000 3.311
Pd -1.945 3.369 0.000
Pd 0.000 2.031 2.219
Pd -2.132 5.723 2.219
Pd 1.759 1.015 4.403
Pd 3.890 0.000 0.000
Pd 1.945 3.369 0.000
Pd 2.132 5.723 2.219
Pd 6.022 1.015 4.403
Pd 3.890 4.708 4.403
Au 0.000 4.492 1.365
Au 3.890 2.246 5.257
```

---

Compound: AcSi2Pd5Au
Source: the Alexandria database
Functional: PBE
Structure: relaxed

Results
uncorrected formation energy: -0.529 eV/atom
spin magnetization: 0.0 μB/f.u.
symmetry: P4/mmm, No. 123

extended XYZ file:
```
9
Lattice="4.822 0.000 0.000 0.000 4.822 0.000 0.000 0.000 7.105" Properties=species:S:1:pos:R:3 pbc="T T T"
Ac 0.000 0.000 0.000
Si 2.411 2.411 2.419
Si 2.411 2.411 4.686
Pd 0.000 2.411 2.013
Pd 0.000 2.411 5.092
Pd 2.411 0.000 2.013
Pd 2.411 0.000 5.092
Pd 2.411 2.411 0.000
Au 0.000 0.000 3.552
```

---

Compound: Ac2Si4PdAu3
Source: the Alexandria database
Functional: PBE
Structure: relaxed

Results
uncorrected formation energy: -0.647 eV/atom
spin magnetization: 0.0 μB/f.u.
symmetry: P-4m2, No. 115

extended XYZ file:
```
10
Lattice="4.486 0.000 0.000 0.000 4.486 0.000 0.000 0.000 10.237" Properties=species:S:1:pos:R:3 pbc="T T T"
Ac 0.000 2.243 2.559
Ac 2.243 0.000 7.678
Si 0.000 0.000 0.000
Si 0.000 2.243 6.397
Si 2.243 0.000 3.840
Si 2.243 2.243 0.000
Pd 0.000 0.000 5.119
Au 0.000 2.243 8.980
Au 2.243 0.000 1.257
Au 2.243 2.243 5.119
```

---

Compound: Ac2Si3PdAu4
Source: the Alexandria database
Functional: PBE
Structure: relaxed

Results
uncorrected formation energy: -0.594 eV/atom
spin magnetization: 0.0 μB/f.u.
symmetry: P-4m2, No. 115

extended XYZ file:
```
10
Lattice="4.536 0.000 0.000 0.000 4.536 0.000 0.000 0.000 10.344" Properties=species:S:1:pos:R:3 pbc="T T T"
Ac 0.000 2.268 2.537
Ac 2.268 0.000 7.807
Si 0.000 0.000 0.000
Si 0.000 2.268 6.471
Si 2.268 0.000 3.873
Pd 2.268 2.268 0.000
Au 0.000 0.000 5.172
Au 0.000 2.268 8.925
Au 2.268 0.000 1.419
Au 2.268 2.268 5.172
```

---

Compound: Ac2Si4Pd3Au
Source: the Alexandria database
Functional: PBE
Structure: relaxed

Results
uncorrected formation energy: -0.792 eV/atom
spin magnetization: 0.0 μB/f.u.
symmetry: P-4m2, No. 115

extended XYZ file:
```
10
Lattice="4.405 0.000 0.000 0.000 4.405 0.000 0.000 0.000 10.213" Properties=species:S:1:pos:R:3 pbc="T T T"
Ac 0.000 2.202 2.507
Ac 2.202 0.000 7.706
Si 0.000 0.000 0.000
Si 0.000 2.202 6.475
Si 2.202 0.000 3.737
Si 2.202 2.202 0.000
Pd 0.000 2.202 9.017
Pd 2.202 0.000 1.196
Pd 2.202 2.202 5.106
Au 0.000 0.000 5.106
```

---

Compound: Ac3Sn6Pd2Au
Source: the Alexandria database
Functional: PBE
Structure: relaxed

Results
spin magnetization: 0.0 μB/f.u.
symmetry: P-3m1, No. 164
DFT formation energy: -4.3 eV/f.u.

extended XYZ file:
```
12
Lattice="6.392 0.000 0.000 -3.196 5.535 0.000 0.000 0.000 10.079" Properties=species:S:1:pos:R:3 pbc="T T T"
Ac 0.000 0.000 0.000
Ac 0.000 3.690 5.892
Ac 3.196 1.845 4.187
Sn 0.000 1.909 2.775
Sn -1.543 4.581 2.775
Sn 1.653 0.954 7.304
Sn 1.543 4.581 2.775
Sn 4.738 0.954 7.304
Sn 3.196 3.626 7.304
Pd 0.000 3.690 0.634
Pd 3.196 1.845 9.444
Au 0.000 0.000 5.039
```

---

Compound: Ac3SnPd9Au2
Source: the Alexandria database
Functional: PBE
Structure: relaxed

Results
spin magnetization: 0.0 μB/f.u.
symmetry: P-3m1, No. 164
DFT formation energy: -8.0 eV/f.u.

extended XYZ file:
```
15
Lattice="5.739 0.000 0.000 -2.870 4.970 0.000 0.000 0.000 12.853" Properties=species:S:1:pos:R:3 pbc="T T T"
Ac 0.000 0.000 0.000
Ac 0.000 3.313 9.763
Ac 2.870 1.657 3.090
Sn 0.000 0.000 6.427
Pd -1.435 2.485 0.000
Pd 0.000 1.679 4.383
Pd -1.415 4.131 4.383
Pd 1.454 0.840 8.470
Pd 2.870 0.000 0.000
Pd 1.435 2.485 0.000
Pd 1.415 4.131 4.383
Pd 4.285 0.840 8.470
Pd 2.870 3.291 8.470
Au 0.000 3.313 2.180
Au 2.870 1.657 10.673
```

---

Compound: Ac3SnPd6Au2
Source: the Alexandria database
Functional: PBE
Structure: relaxed

Results
spin magnetization: 0.0 μB/f.u.
symmetry: P-3m1, No. 164
DFT formation energy: -8.7 eV/f.u.

extended XYZ file:
```
12
Lattice="5.942 0.000 0.000 -2.971 5.146 0.000 0.000 0.000 9.027" Properties=species:S:1:pos:R:3 pbc="T T T"
Ac 0.000 0.000 0.000
Ac 0.000 3.431 5.720
Ac 2.971 1.715 3.307
Sn 0.000 0.000 4.513
Pd 0.000 1.818 2.511
Pd -1.396 4.237 2.511
Pd 1.575 0.909 6.516
Pd 1.396 4.237 2.511
Pd 4.367 0.909 6.516
Pd 2.971 3.327 6.516
Au 0.000 3.431 0.144
Au 2.971 1.715 8.883
```